DFT (PBE) results for U2FeCu after structural relaxation.

Cell and atoms, written as POSCAR:
```
U2FeCu
1.0
-1.898 -0.167 2.087
-1.990 -2.005 -0.057
4.839 -6.958 5.756
Cu U Fe
1 2 1
direct
0.000 0.000 0.000 Cu
0.093 0.093 0.720 U
0.907 0.907 0.280 U
0.500 0.500 0.500 Fe
```

Results
DFT total energy, eV/atom: -8.257
Total magnetic moment, μB/cell: 1.3